Record 1
NiRhF6 | PBE with a Hubbard U | optimized geometry

Density, g/cm3: 3.73
Uncorrected energy, eV/cell: -34.598

Lattice parameters (Å, degrees): 5.576 5.576 5.576 60.00 60.00 60.00
Fractional coordinates of all 8 atoms:
1 Ni 0.000 0.000 0.000
2 Rh 0.500 0.500 0.500
3 F 0.254 0.254 0.746
4 F 0.254 0.746 0.254
5 F 0.254 0.746 0.746
6 F 0.746 0.254 0.254
7 F 0.746 0.254 0.746
8 F 0.746 0.746 0.254

Record 2
Ni3RhF | PBE with a Hubbard U | optimized geometry

Density, g/cm3: 4.88
Uncorrected energy, eV/cell: -10.749
ΔE to the lowest computed polymorph, meV/atom: 913

Lattice parameters (Å, degrees): 4.664 4.664 4.664 90.00 90.00 90.00
Fractional coordinates of all 5 atoms:
1 Ni 0.000 0.000 0.500
2 Ni 0.000 0.500 0.000
3 Ni 0.500 0.000 0.000
4 Rh 0.000 0.000 0.000
5 F 0.500 0.500 0.500

Record 3
NiRh2F | PBE with a Hubbard U | optimized geometry

Density, g/cm3: 8.36
Uncorrected energy, eV/cell: -34.044
ΔE to the lowest computed polymorph, meV/atom: 140

Lattice parameters (Å, degrees): 5.323 5.323 5.323 104.07 104.07 120.91
Fractional coordinates of all 8 atoms:
1 Ni 0.000 0.000 0.000
2 Ni 0.750 0.250 0.500
3 Rh 0.150 0.625 0.025
4 Rh 0.375 0.400 0.525
5 Rh 0.600 0.125 0.975
6 Rh 0.875 0.850 0.475
7 F 0.250 0.750 0.500
8 F 0.500 0.500 0.000

Record 4
NiRhF2 | PBE with a Hubbard U | optimized geometry

Density, g/cm3: 6.79
Uncorrected energy, eV/cell: -14.548
ΔE to the lowest computed polymorph, meV/atom: 281

Lattice parameters (Å, degrees): 4.103 4.103 4.103 60.00 60.00 60.00
Fractional coordinates of all 4 atoms:
1 Ni 0.000 0.000 0.000
2 Rh 0.500 0.500 0.500
3 F 0.250 0.250 0.250
4 F 0.750 0.750 0.750

What is the formula in the second record?
Ni3RhF

Look up the density of the second one.
4.88 g/cm3